Material: BeAl2Si
Method: DFT, meta-GGA SCAN
State: PBEsol geometry

Cell lengths 2.677, 3.722, 5.445 Å; angles 90.00, 90.00, 90.00 degrees
Sites, in units of the cell vectors:
Be 0.000 0.000 0.000
Al 0.500 0.500 0.239
Al 0.500 0.500 0.761
Si 0.000 0.000 0.500

The calculation puts the density of states at the Fermi level at 1.31 states/eV/f.u. The formation energy from raw total energies is 0.2610 eV per atom. The space group is No. 47. The magnetic moment is 0.0 μB per formula unit. As for the volume: 13.6 A^3/atom.



Material: BeAl2Si
Method: DFT, meta-GGA SCAN
State: PBEsol geometry

Cell lengths 8.337, 8.337, 8.337 Å; angles 19.25, 19.25, 19.25 degrees
Sites, in units of the cell vectors:
Be 0.000 0.000 0.000
Al 0.255 0.255 0.255
Al 0.745 0.745 0.745
Si 0.500 0.500 0.500

The calculation puts the density of states at the Fermi level at 1.33 states/eV/f.u. The formation energy from raw total energies is 0.2715 eV per atom. The space group is No. 166. The magnetic moment is 0.0 μB per formula unit. As for the volume: 13.8 A^3/atom.